# 1
A relaxed Nd4AgTe5 crystal, computed with GGA-PBE.

The total magnetization comes out at 0.0 μB per formula unit. The calculation puts the total DFT energy (no corrections) at -4.9593 eV per atom.

The space group is R-3m (No. 166, hexagonal axes) and the conventional cell measures 4.4803, 4.4803 and 54.6715 Å, with angles of 90.00, 90.00 and 120.00 degrees. The inequivalent atoms are Nd at (0.0000, 0.0000, 0.1019), Nd at (0.0000, 0.0000, 0.2990), Ag at (0.0000, 0.0000, 0.5000), Te at (0.0000, 0.0000, 0.0000), Te at (0.0000, 0.0000, 0.1976) and Te at (0.0000, 0.0000, 0.4013).



# 2
A relaxed Nd2AgTe crystal, computed with GGA-PBE.

Its excess energy over the best structure of this formula in the dataset is 0.67 eV/f.u. The total magnetization comes out at 0.6 μB per formula unit. The calculation puts the total DFT energy (no corrections) at -4.5266 eV per atom.

The space group is Fm-3m (No. 225) and the conventional cell measures 7.623, 7.623 and 7.623 Å, with angles of 90.00, 90.00 and 90.00 degrees. The inequivalent atoms are Nd at (0.250, 0.250, 0.250), Ag at (0.000, 0.000, 0.000) and Te at (0.000, 0.000, 0.500).



# 3
A relaxed NdAg2Te3 crystal, computed with GGA-PBE.

The total magnetization comes out at 0.0 μB per formula unit. The calculation puts the total DFT energy (no corrections) at -3.8832 eV per atom.

The space group is P2_1/m (No. 11) and the conventional cell measures 7.253, 4.397 and 11.831 Å, with angles of 90.00, 93.83 and 90.00 degrees. The inequivalent atoms are Nd at (0.193, 0.250, 0.316), Ag at (0.062, 0.750, 0.088), Ag at (0.437, 0.250, 0.577), Te at (0.152, 0.750, 0.859), Te at (0.197, 0.750, 0.525) and Te at (0.424, 0.750, 0.197).



# 4
A relaxed Nd6AgTe8 crystal, computed with GGA-PBE.

The total magnetization comes out at 0.0 μB per formula unit. The calculation puts the total DFT energy (no corrections) at -5.0380 eV per atom.

The space group is R-3 (No. 148, hexagonal axes) and the conventional cell measures 9.4153, 9.4153 and 19.0241 Å, with angles of 90.00, 90.00 and 120.00 degrees. The inequivalent atoms are Nd at (0.0003, 0.3793, 0.4235), Ag at (0.0000, 0.0000, 0.5000), Te at (0.0000, 0.0000, 0.1691) and Te at (0.0053, 0.2752, 0.5912).



# 5
A relaxed NdAg3Te3 crystal, computed with GGA-PBE.

The total magnetization comes out at 0.0 μB per formula unit. The calculation puts the total DFT energy (no corrections) at -3.8229 eV per atom.

The space group is R-3 (No. 148, hexagonal axes) and the conventional cell measures 7.9625, 7.9625 and 22.1042 Å, with angles of 90.00, 90.00 and 120.00 degrees. The inequivalent atoms are Nd at (0.0000, 0.0000, 0.1662), Ag at (0.0028, 0.3615, 0.6259) and Te at (0.0017, 0.3176, 0.4238).



# 6
A relaxed Nd2AgTe3 crystal, computed with GGA-PBE.

The total magnetization comes out at 0.0 μB per formula unit. The calculation puts the total DFT energy (no corrections) at -4.6246 eV per atom.

The space group is Immm (No. 71) and the conventional cell measures 4.106, 5.168 and 17.768 Å, with angles of 90.00, 90.00 and 90.00 degrees. The inequivalent atoms are Nd at (0.000, 0.000, 0.141), Ag at (0.000, 0.000, 0.500), Te at (0.000, 0.000, 0.322) and Te at (0.000, 0.500, 0.500).



# 7
A relaxed Nd2AgTe crystal, computed with GGA-PBE.

Its excess energy over the best structure of this formula in the dataset is 0.40 eV/f.u. The total magnetization comes out at 0.0 μB per formula unit. The calculation puts the total DFT energy (no corrections) at -4.5939 eV per atom.

The space group is R3m (No. 160, hexagonal axes) and the conventional cell measures 4.3330, 4.3330 and 23.2299 Å, with angles of 90.00, 90.00 and 120.00 degrees. The inequivalent atoms are Nd at (0.0000, 0.0000, 0.0000), Nd at (0.0000, 0.0000, 0.1777), Ag at (0.0000, 0.0000, 0.5884) and Te at (0.0000, 0.0000, 0.7564).



# 8
A relaxed NdAgTe2 crystal, computed with GGA-PBE.

The total magnetization comes out at 0.0 μB per formula unit. The calculation puts the total DFT energy (no corrections) at -4.3036 eV per atom.

The space group is R-3m (No. 166, hexagonal axes) and the conventional cell measures 4.6852, 4.6852 and 26.0025 Å, with angles of 90.00, 90.00 and 120.00 degrees. The inequivalent atoms are Nd at (0.0000, 0.0000, 0.0000), Ag at (0.0000, 0.0000, 0.5000) and Te at (0.0000, 0.0000, 0.3983).



# 9
A relaxed Nd2AgTe crystal, computed with GGA-PBE.

Its excess energy over the best structure of this formula in the dataset is 0.00 eV/f.u. The total magnetization comes out at 0.0 μB per formula unit. The calculation puts the total DFT energy (no corrections) at -4.6940 eV per atom.

The space group is Cmcm (No. 63) and the conventional cell measures 4.249, 24.254 and 4.671 Å, with angles of 90.00, 90.00 and 90.00 degrees. The inequivalent atoms are Nd at (0.000, 0.063, 0.250), Nd at (0.000, 0.323, 0.250), Ag at (0.000, 0.461, 0.250) and Te at (0.000, 0.193, 0.250).



# 10
A relaxed Nd2AgTe crystal, computed with GGA-PBE.

Its excess energy over the best structure of this formula in the dataset is 0.23 eV/f.u. The total magnetization comes out at 0.0 μB per formula unit. The calculation puts the total DFT energy (no corrections) at -4.6353 eV per atom.

The space group is R-3m (No. 166, hexagonal axes) and the conventional cell measures 4.3563, 4.3563 and 22.7127 Å, with angles of 90.00, 90.00 and 120.00 degrees. The inequivalent atoms are Nd at (0.0000, 0.0000, 0.2481), Ag at (0.0000, 0.0000, 0.5000) and Te at (0.0000, 0.0000, 0.0000).



# 11
A relaxed NdAg5Te4 crystal, computed with GGA-PBE.

The total magnetization comes out at 0.0 μB per formula unit. The calculation puts the total DFT energy (no corrections) at -3.5182 eV per atom.

The space group is Immm (No. 71) and the conventional cell measures 4.573, 8.387 and 14.947 Å, with angles of 90.00, 90.00 and 90.00 degrees. The inequivalent atoms are Nd at (0.000, 0.000, 0.000), Ag at (0.000, 0.299, 0.316), Ag at (0.000, 0.500, 0.000), Te at (0.000, 0.000, 0.220) and Te at (0.000, 0.227, 0.500).



# 12
A relaxed Nd2AgTe crystal, computed with GGA-PBE.

Its excess energy over the best structure of this formula in the dataset is 0.33 eV/f.u. The total magnetization comes out at 0.6 μB per formula unit. The calculation puts the total DFT energy (no corrections) at -4.6111 eV per atom.

The space group is P4/mmm (No. 123) and the conventional cell measures 3.928, 3.928 and 7.247 Å, with angles of 90.00, 90.00 and 90.00 degrees. The inequivalent atoms are Nd at (0.000, 0.000, 0.246), Ag at (0.500, 0.500, 0.000) and Te at (0.500, 0.500, 0.500).



# 13
A relaxed Nd3AgTe6 crystal, computed with GGA-PBE.

The total magnetization comes out at 0.0 μB per formula unit. The calculation puts the total DFT energy (no corrections) at -4.6157 eV per atom.

The space group is Cmc2_1 (No. 36) and the conventional cell measures 12.600, 13.866 and 7.817 Å, with angles of 90.00, 90.00 and 90.00 degrees. The inequivalent atoms are Nd at (0.000, 0.103, 0.000), Nd at (0.178, 0.406, 0.896), Ag at (0.000, 0.278, 0.350), Te at (0.000, 0.278, 0.710), Te at (0.000, 0.469, 0.190), Te at (0.160, 0.043, 0.694) and Te at (0.181, 0.230, 0.167).



# 14
A relaxed Nd3Ag5Te12 crystal, computed with GGA-PBE.

The total magnetization comes out at 0.0 μB per formula unit. The calculation puts the total DFT energy (no corrections) at -3.7212 eV per atom.

The space group is Ia-3d (No. 230) and the conventional cell measures 17.423, 17.423 and 17.423 Å, with angles of 90.00, 90.00 and 90.00 degrees. The inequivalent atoms are Nd at (0.000, 0.250, 0.125), Ag at (0.000, 0.000, 0.000), Ag at (0.000, 0.250, 0.375) and Te at (0.020, 0.064, 0.650).



# 15
A relaxed NdAgTe2 crystal, computed with GGA-PBE.

The total magnetization comes out at 0.0 μB per formula unit. The calculation puts the total DFT energy (no corrections) at -4.4170 eV per atom.

The space group is Pnma (No. 62) and the conventional cell measures 7.836, 4.305 and 14.161 Å, with angles of 90.00, 90.00 and 90.00 degrees. The inequivalent atoms are Nd at (0.163, 0.250, 0.152), Ag at (0.078, 0.750, 0.444), Te at (0.070, 0.250, 0.736) and Te at (0.195, 0.750, 0.984).



# 16
A relaxed Nd3AgTe2 crystal, computed with GGA-PBE.

The total magnetization comes out at 0.0 μB per formula unit. The calculation puts the total DFT energy (no corrections) at -4.9109 eV per atom.

The space group is C2/m (No. 12) and the conventional cell measures 7.637, 13.289 and 7.848 Å, with angles of 90.00, 109.22 and 90.00 degrees. The inequivalent atoms are Nd at (0.245, 0.000, 0.244), Nd at (0.249, 0.168, 0.754), Ag at (0.000, 0.168, 0.000), Te at (0.000, 0.000, 0.500), Te at (0.000, 0.337, 0.500) and Te at (0.000, 0.500, 0.000).



# 17
A relaxed Nd6AgTe3 crystal, computed with GGA-PBE.

The total magnetization comes out at 0.0 μB per formula unit. The calculation puts the total DFT energy (no corrections) at -4.8828 eV per atom.

The space group is P2_1/m (No. 11) and the conventional cell measures 12.816, 4.184 and 12.987 Å, with angles of 90.00, 106.94 and 90.00 degrees. The inequivalent atoms are Nd at (0.048, 0.250, 0.380), Nd at (0.142, 0.750, 0.993), Nd at (0.203, 0.250, 0.751), Nd at (0.267, 0.750, 0.284), Nd at (0.358, 0.250, 0.537), Nd at (0.402, 0.250, 0.094), Ag at (0.177, 0.750, 0.552), Te at (0.010, 0.750, 0.173), Te at (0.351, 0.750, 0.905) and Te at (0.461, 0.250, 0.347).



# 18
A relaxed Nd4AgTe3 crystal, computed with GGA-PBE.

The total magnetization comes out at 0.0 μB per formula unit. The calculation puts the total DFT energy (no corrections) at -5.0375 eV per atom.

The space group is Cmmm (No. 65) and the conventional cell measures 9.070, 12.658 and 4.399 Å, with angles of 90.00, 90.00 and 90.00 degrees. The inequivalent atoms are Nd at (0.000, 0.248, 0.000), Nd at (0.242, 0.000, 0.500), Ag at (0.000, 0.000, 0.000), Te at (0.000, 0.500, 0.000) and Te at (0.250, 0.250, 0.500).



# 19
A relaxed Nd2AgTe4 crystal, computed with GGA-PBE.

The total magnetization comes out at 0.0 μB per formula unit. The calculation puts the total DFT energy (no corrections) at -4.5756 eV per atom.

The space group is P2_1/m (No. 11) and the conventional cell measures 7.882, 6.313 and 8.982 Å, with angles of 90.00, 106.18 and 90.00 degrees. The inequivalent atoms are Nd at (0.221, 0.250, 0.427), Nd at (0.255, 0.250, 0.939), Ag at (0.218, 0.750, 0.676), Te at (0.063, 0.750, 0.367), Te at (0.074, 0.750, 0.916) and Te at (0.477, 0.508, 0.250).